# 1
DFT (PBE) results for an optimized crystal structure of NbZnCrTc2.

The structure in POSCAR format:
```
NbZnCrTc2
1.0
4.654 0.000 0.000
0.000 4.654 0.000
0.000 0.000 4.863
Nb Zn Cr Tc
1 1 1 2
direct
0.000 0.000 0.000 Nb
0.000 0.000 0.500 Zn
0.500 0.500 0.500 Cr
0.000 0.500 0.000 Tc
0.500 0.000 0.000 Tc
```

SG ... P4/mmm, No. 123
Total magnetization ... 1.65 μB per cell
Energy of formation from the pure elements ... 2.01 eV/atom

---

# 2
DFT (PBE) results for an optimized crystal structure of Nb2CrTe5.

The structure in POSCAR format:
```
Nb2CrTe5
1.0
0.000 6.891 7.275
2.453 0.000 7.275
2.453 6.891 0.000
Nb Cr Te
2 1 5
direct
0.192 0.192 0.808 Nb
0.808 0.808 0.192 Nb
0.500 0.500 0.500 Cr
0.000 0.000 0.000 Te
0.218 0.472 0.528 Te
0.472 0.218 0.782 Te
0.528 0.782 0.218 Te
0.782 0.528 0.472 Te
```

E above lowest polymorph ... 0.000 eV per atom
SG ... Fmmm, No. 69
Total magnetization ... 2.67 μB per cell

---

# 3
DFT (PBE) results for an optimized crystal structure of Nb3CrTe.

The structure in POSCAR format:
```
Nb3CrTe
1.0
4.974 0.000 0.000
0.000 4.974 0.000
0.000 0.000 4.974
Nb Cr Te
3 1 1
direct
0.000 0.000 0.500 Nb
0.000 0.500 0.000 Nb
0.500 0.000 0.000 Nb
0.500 0.500 0.500 Cr
0.000 0.000 0.000 Te
```

E above lowest polymorph ... 1.193 eV per atom
SG ... Pm-3m, No. 221
Total magnetization ... 0.88 μB per cell

---

# 4
DFT (PBE) results for an optimized crystal structure of NbCrTe3.

The structure in POSCAR format:
```
NbCrTe3
1.0
1.765 -7.151 0.000
1.765 7.151 0.000
0.000 0.000 12.001
Nb Cr Te
2 2 6
direct
0.208 0.792 0.750 Nb
0.792 0.208 0.250 Nb
0.491 0.509 0.250 Cr
0.509 0.491 0.750 Cr
0.134 0.866 0.250 Te
0.364 0.636 0.088 Te
0.364 0.636 0.412 Te
0.636 0.364 0.588 Te
0.636 0.364 0.912 Te
0.866 0.134 0.750 Te
```

E above lowest polymorph ... 0.000 eV per atom
SG ... Cmcm, No. 63
Total magnetization ... 8.21 μB per cell

---

# 5
DFT (PBE) results for an optimized crystal structure of Nb2CrTe5.

The structure in POSCAR format:
```
Nb2CrTe5
1.0
2.749 -6.456 0.000
2.749 6.456 0.000
0.000 0.000 11.979
Nb Cr Te
4 2 10
direct
0.152 0.848 0.613 Nb
0.152 0.848 0.887 Nb
0.848 0.152 0.113 Nb
0.848 0.152 0.387 Nb
0.227 0.773 0.250 Cr
0.773 0.227 0.750 Cr
0.061 0.939 0.113 Te
0.061 0.939 0.387 Te
0.326 0.674 0.750 Te
0.329 0.671 0.052 Te
0.329 0.671 0.448 Te
0.671 0.329 0.552 Te
0.671 0.329 0.948 Te
0.674 0.326 0.250 Te
0.939 0.061 0.613 Te
0.939 0.061 0.887 Te
```

E above lowest polymorph ... 0.110 eV per atom
SG ... Cmcm, No. 63
Total magnetization ... 3.61 μB per cell

---

# 6
DFT (PBE) results for an optimized crystal structure of NbCrTe2.

The structure in POSCAR format:
```
NbCrTe2
1.0
1.634 0.944 9.163
-1.634 0.944 9.163
0.000 -1.887 9.163
Nb Cr Te
1 1 2
direct
0.000 0.000 0.000 Nb
0.500 0.500 0.500 Cr
0.101 0.101 0.101 Te
0.899 0.899 0.899 Te
```

E above lowest polymorph ... 0.136 eV per atom
SG ... R-3m, No. 166
Total magnetization ... 0.00 μB per cell

---

# 7
DFT (PBE) results for an optimized crystal structure of NbCrTe4.

The structure in POSCAR format:
```
NbCrTe4
1.0
4.423 -7.734 0.000
4.423 7.734 0.000
-4.068 0.000 4.525
Nb Cr Te
2 2 8
direct
0.047 0.953 0.750 Nb
0.953 0.047 0.250 Nb
0.306 0.694 0.250 Cr
0.694 0.306 0.750 Cr
0.016 0.625 0.793 Te
0.236 0.356 0.856 Te
0.356 0.236 0.356 Te
0.375 0.984 0.707 Te
0.625 0.016 0.293 Te
0.644 0.764 0.644 Te
0.764 0.644 0.144 Te
0.984 0.375 0.207 Te
```

E above lowest polymorph ... 0.078 eV per atom
SG ... C2/c, No. 15
Total magnetization ... 4.97 μB per cell

---

# 8
DFT (PBE) results for an optimized crystal structure of NbCrTe3.

The structure in POSCAR format:
```
NbCrTe3
1.0
5.372 0.000 0.000
0.000 5.372 0.000
0.000 0.000 5.372
Nb Cr Te
1 1 3
direct
0.000 0.000 0.000 Nb
0.500 0.500 0.500 Cr
0.000 0.000 0.500 Te
0.000 0.500 0.000 Te
0.500 0.000 0.000 Te
```

E above lowest polymorph ... 1.189 eV per atom
SG ... Pm-3m, No. 221
Total magnetization ... 0.91 μB per cell

---

Number 1: electronic total energy -31.7 eV per cell. Number 2: electronic total energy -46.9 eV per cell. Number 3: electronic total energy -33.3 eV per cell. Number 4: electronic total energy -58.8 eV per cell. Number 5: electronic total energy -92.1 eV per cell. Number 6: electronic total energy -24.3 eV per cell. Number 7: electronic total energy -67.1 eV per cell. Number 8: electronic total energy -23.5 eV per cell.